[1]
5
Lattice="4.5006 0.0000 0.0000 0.0000 4.5006 0.0000 0.0000 0.0000 4.5006" Properties=species:S:1:pos:R:3 comment="ZnPPt3 PBE-GGA optimized geometry" formation_enthalpy_0k_ev_per_atom=0.1033 crystal_system=cubic dft_energy_ev_per_cell=-24.3 total_magnetization_mub_per_cell=0.00 pbc="T T T"
Zn 0.0000 0.0000 0.0000
P 2.2503 2.2503 2.2503
Pt 0.0000 2.2503 2.2503
Pt 2.2503 0.0000 2.2503
Pt 2.2503 2.2503 0.0000

[2]
5
Lattice="4.7320 0.0000 0.0000 0.0000 4.7320 0.0000 0.0000 0.0000 4.7320" Properties=species:S:1:pos:R:3 comment="ZnP3Pt PBE-GGA optimized geometry" formation_enthalpy_0k_ev_per_atom=0.8668 crystal_system=cubic dft_energy_ev_per_cell=-19.2 total_magnetization_mub_per_cell=0.00 pbc="T T T"
Zn 0.0000 0.0000 0.0000
P 0.0000 2.3660 2.3660
P 2.3660 0.0000 2.3660
P 2.3660 2.3660 0.0000
Pt 2.3660 2.3660 2.3660

[3]
4
Lattice="3.6784 0.0000 0.0000 0.0000 1.8110 4.7524 0.0000 -1.8110 4.7524" Properties=species:S:1:pos:R:3 comment="Zn2PPt PBE-GGA optimized geometry" formation_enthalpy_0k_ev_per_atom=-0.2152 crystal_system=orthorhombic dft_energy_ev_per_cell=-14.9 total_magnetization_mub_per_cell=0.00 pbc="T T T"
Zn 0.0000 0.0000 0.0000
Zn 1.8392 0.0000 2.9851
P 1.8392 0.0000 5.4137
Pt 0.0000 0.0000 6.9010